A relaxed YGePt2 crystal, computed with PBE-GGA.

Cell: 4.138 5.715 6.996 Å, 90.00 90.00 90.00°
Fractional coordinates of all 8 atoms:
Y  0.000  0.181  0.000
Y  0.000  0.819  0.500
Ge  0.500  0.332  0.393
Ge  0.500  0.668  0.893
Pt  0.000  0.343  0.594
Pt  0.000  0.657  0.094
Pt  0.500  0.053  0.726
Pt  0.500  0.947  0.226

- calculated total energy (eV per atom) = -6.5903
- space-group type = No. 26

A relaxed Ta3S2 crystal, computed with PBE-GGA.

Cell: 7.520 9.126 9.126 Å, 143.99 90.00 90.00°
Fractional coordinates of all 20 atoms:
Ta  0.005  0.250  0.750
Ta  0.105  0.141  0.356
Ta  0.105  0.856  0.641
Ta  0.281  0.422  0.089
Ta  0.281  0.589  0.922
Ta  0.344  0.984  0.484
Ta  0.656  0.484  0.984
Ta  0.719  0.089  0.422
Ta  0.719  0.922  0.589
Ta  0.895  0.356  0.141
Ta  0.895  0.641  0.856
Ta  0.995  0.750  0.250
S  0.172  0.164  0.084
S  0.172  0.584  0.664
S  0.416  0.009  0.242
S  0.416  0.742  0.509
S  0.584  0.242  0.009
S  0.584  0.509  0.742
S  0.828  0.084  0.164
S  0.828  0.664  0.584

- calculated total energy (eV per atom) = -9.5263
- space-group type = No. 39

A relaxed YBeInCu crystal, computed with PBE-GGA.

Cell: 6.552 6.552 6.552 Å, 90.00 90.00 90.00°
Fractional coordinates of all 16 atoms:
Y  0.000  0.000  0.000
Y  0.000  0.500  0.500
Y  0.500  0.000  0.500
Y  0.500  0.500  0.000
Be  0.250  0.250  0.250
Be  0.250  0.750  0.750
Be  0.750  0.250  0.750
Be  0.750  0.750  0.250
In  0.000  0.000  0.500
In  0.000  0.500  0.000
In  0.500  0.000  0.000
In  0.500  0.500  0.500
Cu  0.250  0.250  0.750
Cu  0.250  0.750  0.250
Cu  0.750  0.250  0.250
Cu  0.750  0.750  0.750

- calculated total energy (eV per atom) = -4.3116
- space-group type = No. 216

A relaxed LiZnPO4 crystal, computed with PBE-GGA.

Cell: 9.961 4.948 6.634 Å, 90.00 90.00 90.00°
Fractional coordinates of all 28 atoms:
Li  0.155  0.183  0.000
Li  0.345  0.683  0.500
Li  0.655  0.317  0.000
Li  0.845  0.817  0.500
Zn  0.156  0.182  0.499
Zn  0.344  0.682  0.999
Zn  0.656  0.318  0.499
Zn  0.844  0.818  0.999
P  0.092  0.680  0.250
P  0.408  0.180  0.750
P  0.592  0.820  0.250
P  0.908  0.320  0.750
O  0.059  0.244  0.751
O  0.112  0.369  0.249
O  0.157  0.798  0.057
O  0.159  0.792  0.444
O  0.341  0.292  0.944
O  0.343  0.298  0.557
O  0.388  0.869  0.749
O  0.441  0.744  0.251
O  0.559  0.256  0.751
O  0.612  0.131  0.249
O  0.657  0.702  0.057
O  0.659  0.708  0.444
O  0.841  0.208  0.944
O  0.843  0.202  0.557
O  0.888  0.631  0.749
O  0.941  0.756  0.251

- calculated total energy (eV per atom) = -6.1956
- space-group type = No. 33

A relaxed Tc2Se3S crystal, computed with PBE-GGA.

Cell: 6.611 6.754 7.031 Å, 91.98 104.05 118.74°
Fractional coordinates of all 12 atoms:
Tc  0.013  0.208  0.004
Tc  0.434  0.183  0.009
Tc  0.566  0.817  0.991
Tc  0.987  0.792  0.996
Se  0.227  0.844  0.750
Se  0.251  0.634  0.187
Se  0.279  0.393  0.787
Se  0.721  0.607  0.213
Se  0.749  0.366  0.813
Se  0.773  0.156  0.250
S  0.235  0.108  0.255
S  0.765  0.892  0.745

- calculated total energy (eV per atom) = -6.4445
- space-group type = No. 2

A relaxed Ni3Br8 crystal, computed with PBE-GGA.

Cell: 8.019 8.019 6.212 Å, 90.42 90.42 62.54°
Fractional coordinates of all 11 atoms:
Ni  0.000  0.000  0.000
Ni  0.163  0.163  0.403
Ni  0.837  0.837  0.597
Br  0.135  0.712  0.760
Br  0.158  0.158  0.778
Br  0.288  0.865  0.240
Br  0.322  0.322  0.307
Br  0.678  0.678  0.693
Br  0.712  0.135  0.760
Br  0.842  0.842  0.222
Br  0.865  0.288  0.240

- calculated total energy (eV per atom) = -2.9126
- space-group type = No. 12

A relaxed Y2PbAu crystal, computed with PBE-GGA.

Cell: 7.480 7.480 7.480 Å, 90.00 90.00 90.00°
Fractional coordinates of all 16 atoms:
Y  0.000  0.000  0.000
Y  0.000  0.500  0.500
Y  0.250  0.250  0.250
Y  0.250  0.750  0.750
Y  0.500  0.000  0.500
Y  0.500  0.500  0.000
Y  0.750  0.250  0.750
Y  0.750  0.750  0.250
Pb  0.000  0.000  0.500
Pb  0.000  0.500  0.000
Pb  0.500  0.000  0.000
Pb  0.500  0.500  0.500
Au  0.250  0.250  0.750
Au  0.250  0.750  0.250
Au  0.750  0.250  0.250
Au  0.750  0.750  0.750

- calculated total energy (eV per atom) = -5.0613
- space-group type = No. 216

A relaxed BiTe2Mo crystal, computed with PBE-GGA.

Cell: 7.260 7.260 7.260 Å, 90.00 90.00 90.00°
Fractional coordinates of all 16 atoms:
Bi  0.000  0.000  0.000
Bi  0.000  0.500  0.500
Bi  0.500  0.000  0.500
Bi  0.500  0.500  0.000
Te  0.000  0.000  0.500
Te  0.000  0.500  0.000
Te  0.250  0.250  0.750
Te  0.250  0.750  0.250
Te  0.500  0.000  0.000
Te  0.500  0.500  0.500
Te  0.750  0.250  0.250
Te  0.750  0.750  0.750
Mo  0.250  0.250  0.250
Mo  0.250  0.750  0.750
Mo  0.750  0.250  0.750
Mo  0.750  0.750  0.250

- calculated total energy (eV per atom) = -4.5249
- space-group type = No. 216

A relaxed FeCuTe3Pb crystal, computed with PBE-GGA.

Cell: 10.278 3.885 14.211 Å, 90.00 90.00 90.00°
Fractional coordinates of all 24 atoms:
Fe  0.032  0.250  0.230
Fe  0.468  0.750  0.730
Fe  0.532  0.250  0.270
Fe  0.968  0.750  0.770
Cu  0.238  0.750  0.194
Cu  0.262  0.250  0.694
Cu  0.738  0.750  0.306
Cu  0.762  0.250  0.806
Te  0.016  0.250  0.647
Te  0.025  0.750  0.106
Te  0.230  0.750  0.814
Te  0.270  0.250  0.314
Te  0.475  0.250  0.606
Te  0.484  0.750  0.147
Te  0.516  0.250  0.853
Te  0.525  0.750  0.394
Te  0.730  0.750  0.686
Te  0.770  0.250  0.186
Te  0.975  0.250  0.894
Te  0.984  0.750  0.353
Pb  0.236  0.750  0.514
Pb  0.264  0.250  0.014
Pb  0.736  0.750  0.986
Pb  0.764  0.250  0.486

- calculated total energy (eV per atom) = -4.1865
- space-group type = No. 62

A relaxed Mg2TaSn crystal, computed with PBE-GGA.

Cell: 6.887 6.887 6.887 Å, 90.00 90.00 90.00°
Fractional coordinates of all 16 atoms:
Mg  0.000  0.000  0.000
Mg  0.000  0.500  0.500
Mg  0.250  0.250  0.250
Mg  0.250  0.750  0.750
Mg  0.500  0.000  0.500
Mg  0.500  0.500  0.000
Mg  0.750  0.250  0.750
Mg  0.750  0.750  0.250
Ta  0.250  0.250  0.750
Ta  0.250  0.750  0.250
Ta  0.750  0.250  0.250
Ta  0.750  0.750  0.750
Sn  0.000  0.000  0.500
Sn  0.000  0.500  0.000
Sn  0.500  0.000  0.000
Sn  0.500  0.500  0.500

- calculated total energy (eV per atom) = -4.3590
- space-group type = No. 216

A relaxed HfNbSnC crystal, computed with PBE-GGA.

Cell: 3.274 3.274 14.373 Å, 90.00 90.00 120.00°
Fractional coordinates of all 8 atoms:
Hf  0.333  0.667  0.000
Hf  0.667  0.333  0.500
Nb  0.333  0.667  0.330
Nb  0.667  0.333  0.830
Sn  0.333  0.667  0.669
Sn  0.667  0.333  0.169
C  0.000  0.000  0.414
C  0.000  0.000  0.914

- calculated total energy (eV per atom) = -8.9054
- space-group type = No. 186

A relaxed CoW2 crystal, computed with PBE-GGA.

Cell: 9.413 9.413 4.942 Å, 90.00 90.00 90.00°
Fractional coordinates of all 30 atoms:
Co  0.000  0.000  0.000
Co  0.181  0.181  0.253
Co  0.181  0.181  0.747
Co  0.319  0.681  0.247
Co  0.319  0.681  0.753
Co  0.500  0.500  0.500
Co  0.681  0.319  0.247
Co  0.681  0.319  0.753
Co  0.819  0.819  0.253
Co  0.819  0.819  0.747
W  0.037  0.633  0.500
W  0.060  0.747  0.000
W  0.097  0.903  0.500
W  0.133  0.463  0.000
W  0.247  0.440  0.500
W  0.253  0.940  0.000
W  0.367  0.963  0.500
W  0.403  0.403  0.000
W  0.440  0.247  0.500
W  0.463  0.133  0.000
W  0.537  0.867  0.000
W  0.560  0.753  0.500
W  0.597  0.597  0.000
W  0.633  0.037  0.500
W  0.747  0.060  0.000
W  0.753  0.560  0.500
W  0.867  0.537  0.000
W  0.903  0.097  0.500
W  0.940  0.253  0.000
W  0.963  0.367  0.500

- formation enthalpy at 0 K (kcal/mol of atoms) = 6.24
- space-group type = No. 136